# 1
9
Lattice="9.3698 -1.8076 0.0000 9.3698 1.8076 0.0000 -4.1606 0.0000 8.6511" Properties=species:S:1:pos:R:3 comment="Pr2Dy4Y2Tm (PBE-GGA, optimized geometry)" crystal_system=monoclinic pbc="T T T"
Pr -1.0721 0.0000 8.6490
Pr 15.6510 0.0000 0.0020
Dy -1.0258 0.0000 2.8851
Dy 3.1369 0.0000 5.7440
Dy 11.4420 0.0000 2.9070
Dy 15.6048 0.0000 5.7659
Y 5.2208 0.0000 2.9250
Y 9.3582 0.0000 5.7260
Tm 9.3698 0.0000 0.0000


# 2
12
Lattice="3.1552 -5.4645 0.0000 3.1552 5.4645 0.0000 -2.0980 0.0000 11.6999" Properties=species:S:1:pos:R:3 comment="Pr6Dy3Y2Tm (PBE-GGA, optimized geometry)" crystal_system=monoclinic pbc="T T T"
Pr 0.0007 1.8149 8.7749
Pr 1.0460 0.0000 2.9239
Pr 0.0007 -1.8149 8.7749
Pr 4.2116 1.8149 2.9250
Pr 3.1663 0.0000 8.7760
Pr 4.2116 -1.8149 2.9250
Dy 3.1552 3.6433 0.0000
Dy 3.1552 0.0000 0.0000
Dy 3.1552 -3.6433 0.0000
Y 2.1062 1.8212 5.8500
Y 2.1062 -1.8212 5.8500
Tm -1.0490 0.0000 5.8500


# 3
7
Lattice="5.8827 -1.7600 0.0000 5.8827 1.7600 0.0000 -3.8219 0.0000 11.2115" Properties=species:S:1:pos:R:3 comment="Pr2DyY2Tm2 (PBE-GGA, optimized geometry)" crystal_system=monoclinic pbc="T T T"
Pr 1.6942 0.0000 0.9650
Pr 6.2492 0.0000 10.2465
Dy 3.9717 0.0000 5.6057
Y -2.3761 0.0000 8.6169
Y 10.3195 0.0000 2.5946
Tm 0.7739 0.0000 7.0990
Tm 7.1695 0.0000 4.1125


# 4
20
Lattice="4.6505 -7.7440 0.0000 4.6505 7.7440 0.0000 -1.2445 0.0000 9.6157" Properties=species:S:1:pos:R:3 comment="Pr6Dy2YTm (PBE-GGA, optimized geometry)" crystal_system=monoclinic pbc="T T T"
Pr 2.4193 4.3116 1.8285
Pr 3.4152 4.9935 5.3165
Pr 4.0191 4.9935 9.1071
Pr 3.2383 1.6718 3.6818
Pr 6.2595 4.3116 2.9794
Pr 5.4405 1.6718 1.1260
Pr 2.6161 -1.6718 8.4897
Pr 1.7971 -4.3116 6.6364
Pr 4.8182 -1.6718 5.9339
Pr 4.0375 -4.9935 0.5087
Pr 4.6413 -4.9935 4.2992
Pr 5.6373 -4.3116 7.7872
Dy 2.2726 0.7693 0.4394
Dy 1.6504 -0.7693 5.2473
Dy 6.4062 0.7693 4.3684
Dy 5.7839 -0.7693 9.1763
Y 4.3394 7.3346 2.4039
Y 3.7172 -7.3346 7.2118
Tm 3.7172 1.3524 7.2118
Tm 4.3394 -1.3524 2.4039


| no. | total energy (eV/atom) | total magnetization (μB per formula unit) |
| --- | --- | --- |
| 1 | -5.041 | 0.00 |
| 2 | -4.980 | 0.00 |
| 3 | -5.062 | 0.00 |
| 4 | -4.768 | 0.00 |